Here is a relaxed structure of MoRuO5 from Alexandria. Energies are from PBE+U.

Cell lengths 8.2837, 6.2295, 7.0244 Å; angles 90.00, 114.46, 90.00 degrees
With the nearest neighbours (Å) after each atom.
Space group C2/c (No. 15)
Unique sites:
Mo  0.0000  0.0359  0.2500 (multiplicity 4)  5 O 1.88-2.03
Ru  0.0000  0.5000  0.0000 (multiplicity 4)  6 O 1.89-2.01
O  0.0000  0.3621  0.2500 (multiplicity 4)  2 Ru 1.95, 1 Mo 2.03
O  0.0096  0.1822  0.9593 (multiplicity 8)  1 Mo 1.98, 1 Ru 2.01
O  0.2498  0.0273  0.3707 (multiplicity 8)  1 Mo 1.88, 1 Ru 1.89

Output
- size of the total moment (Bohr magnetons per cell) = 0.00
- energy (eV per cell) = -197.960